# PBE-GGA CeMn2Ge2C, relaxed
# - symmetry = P4/mmm (123)
# - electronic total energy (eV/atom) = -7.490
# - N(E_F) (states/eV per cell) = 5.85
# - ΔE_f (eV/atom) = -0.368
data_CeMn2Ge2C
_symmetry_space_group_name_H-M 'P 1'
_symmetry_Int_Tables_number 1
_symmetry_space_group_name_Hall 'P 1'
_cell_length_a 3.9586
_cell_length_b 3.9586
_cell_length_c 5.4718
_cell_angle_alpha 90.00
_cell_angle_beta 90.00
_cell_angle_gamma 90.00
loop_
_atom_site_label
_atom_site_type_symbol
_atom_site_fract_x
_atom_site_fract_y
_atom_site_fract_z
_atom_site_occupancy
Ge1 Ge 0.5000 0.5000 0.2726 1
Ge2 Ge 0.5000 0.5000 0.7274 1
Ce1 Ce 0.0000 0.0000 0.5000 1
Mn1 Mn 0.0000 0.5000 0.0000 1
Mn2 Mn 0.5000 0.0000 0.0000 1
C1 C 0.0000 0.0000 0.0000 1


# PBE-GGA Pu2ZnCo3H12, relaxed
# - symmetry = R-3m (166)
# - electronic total energy (eV/atom) = -5.197
# - N(E_F) (states/eV per cell) = 19.17
data_Pu2ZnCo3H12
_symmetry_space_group_name_H-M 'P 1'
_symmetry_Int_Tables_number 1
_symmetry_space_group_name_Hall 'P 1'
_cell_length_a 5.7627
_cell_length_b 5.7627
_cell_length_c 5.7627
_cell_angle_alpha 61.03
_cell_angle_beta 61.03
_cell_angle_gamma 61.03
loop_
_atom_site_label
_atom_site_type_symbol
_atom_site_fract_x
_atom_site_fract_y
_atom_site_fract_z
_atom_site_occupancy
Pu1 Pu 0.6143 0.6143 0.6143 1
Pu2 Pu 0.3857 0.3857 0.3857 1
Co1 Co 0.0000 0.5000 0.0000 1
Co2 Co 0.0000 0.0000 0.5000 1
Co3 Co 0.5000 0.0000 0.0000 1
Zn1 Zn 0.0000 0.0000 0.0000 1
H1 H 0.8863 0.3885 0.8863 1
H2 H 0.8863 0.8863 0.3885 1
H3 H 0.6746 0.1303 0.6746 1
H4 H 0.6746 0.6746 0.1303 1
H5 H 0.1303 0.6746 0.6746 1
H6 H 0.1137 0.6115 0.1137 1
H7 H 0.3885 0.8863 0.8863 1
H8 H 0.6115 0.1137 0.1137 1
H9 H 0.1137 0.1137 0.6115 1
H10 H 0.3254 0.3254 0.8697 1
H11 H 0.3254 0.8697 0.3254 1
H12 H 0.8697 0.3254 0.3254 1